No. 1
A geometry-optimized K2SrAl structure. Source: Alexandria, functional PBE-GGA.

POSCAR file:
```
K2SrAl
1.0
3.6250 -6.1487 0.0000
3.6250 6.1487 0.0000
0.0000 0.0000 4.2029
K Sr Al
2 1 1
Direct
0.0000 0.5000 0.0000
0.5000 0.0000 0.0000
0.0000 0.0000 0.5000
0.5000 0.5000 0.5000
```

Values from the calculation:
Symmetry: No. 65
DFT total energy: -1.53 eV/atom

No. 2
A geometry-optimized K3SrAl structure. Source: Alexandria, functional PBE-GGA.

POSCAR file:
```
K3SrAl
1.0
6.7373 0.0000 0.0000
0.0000 6.7373 0.0000
0.0000 0.0000 6.7373
K Sr Al
3 1 1
Direct
0.0000 0.0000 0.5000
0.0000 0.5000 0.0000
0.5000 0.0000 0.0000
0.5000 0.5000 0.5000
0.0000 0.0000 0.0000
```

Values from the calculation:
Symmetry: No. 221
DFT total energy: -1.35 eV/atom

No. 3
A geometry-optimized KSr2Al structure. Source: Alexandria, functional PBE-GGA.

POSCAR file:
```
KSr2Al
1.0
4.0306 0.0000 0.0000
0.0000 4.0249 0.0000
-0.0643 0.0000 11.1461
K Sr Al
1 2 1
Direct
0.0000 0.0000 0.0000
0.4971 0.5000 0.3317
0.5029 0.5000 0.6683
0.0000 0.0000 0.5000
```

Values from the calculation:
Symmetry: No. 10
DFT total energy: -2.07 eV/atom

No. 4
A geometry-optimized K2SrAl structure. Source: Alexandria, functional PBE-GGA.

POSCAR file:
```
K2SrAl
1.0
3.5601 -6.9229 0.0000
3.5601 6.9229 0.0000
-2.3192 0.0000 3.5453
K Sr Al
2 1 1
Direct
0.0000 0.5000 0.0000
0.5000 0.0000 0.0000
0.0000 0.0000 0.5000
0.5000 0.5000 0.5000
```

Values from the calculation:
Symmetry: No. 12
DFT total energy: -1.60 eV/atom

No. 5
A geometry-optimized KSr2Al2 structure. Source: Alexandria, functional PBE-GGA.

POSCAR file:
```
KSr2Al2
1.0
-3.0907 3.0907 5.1613
3.0907 -3.0907 5.1613
3.0907 3.0907 -5.1613
K Sr Al
1 2 2
Direct
0.0000 0.0000 0.0000
0.2500 0.7500 0.5000
0.7500 0.2500 0.5000
0.3779 0.3779 0.0000
0.6221 0.6221 0.0000
```

Values from the calculation:
Symmetry: No. 139
Offset from the most stable computed form: 0.0860 eV/atom

No. 6
A geometry-optimized KSr2Al2 structure. Source: Alexandria, functional PBE-GGA.

POSCAR file:
```
KSr2Al2
1.0
9.3132 0.0000 0.0000
0.0000 9.3132 0.0000
0.0000 0.0000 4.2130
K Sr Al
2 4 4
Direct
0.0000 0.0000 0.0000
0.5000 0.5000 0.0000
0.1795 0.3205 0.5000
0.3205 0.8205 0.5000
0.6795 0.1795 0.5000
0.8205 0.6795 0.5000
0.1038 0.6038 0.0000
0.3962 0.1038 0.0000
0.6038 0.8962 0.0000
0.8962 0.3962 0.0000
```

Values from the calculation:
Symmetry: No. 127
Offset from the most stable computed form: 0.0000 eV/atom

| no. | magnetization (μB per formula unit) |
| --- | --- |
| 1 | 0.00 |
| 2 | 0.00 |
| 3 | 0.00 |
| 4 | 0.00 |
| 5 | 0.00 |
| 6 | 0.00 |